Entry 1:
Computed, not measured: a geometry-optimized Sr3NbBr structure at the PBE level of DFT.

Cell: 5.924 5.924 5.924 Å, 90.00 90.00 90.00°
Each line ends with the local moment (μB).
Sites, in units of the cell vectors:
Sr (0.500, 0.000, 0.000)  0.03
Sr (0.000, 0.500, 0.000)  0.03
Sr (0.000, 0.000, 0.500)  0.05
Nb (0.500, 0.500, 0.500)  2.66
Br (0.000, 0.000, 0.000)  0.01

Results
Total magnetization ... 0.864 μB per atom
Excess energy over the best structure of this formula in the dataset ... 0.0 kJ per mole of atoms
Crystal system ... cubic
Uncorrected energy ... -15.34 eV per cell



Entry 2:
Computed, not measured: a geometry-optimized Sr2NbBr2 structure at the PBE level of DFT.

Cell: 6.300 6.300 6.257 Å, 59.77 59.77 90.00°
Each line ends with the local moment (μB).
Sites, in units of the cell vectors:
Br (0.304, 0.304, 0.392)  0.04
Br (0.696, 0.696, 0.608)  0.04
Nb (0.000, 0.000, 0.000)  2.57
Sr (0.750, 0.250, 0.500)  0.11
Sr (0.250, 0.750, 0.500)  0.11

Results
Total magnetization ... 0.958 μB per atom
Excess energy over the best structure of this formula in the dataset ... 0.0 kJ per mole of atoms
Crystal system ... tetragonal
Uncorrected energy ... -18.61 eV per cell



Entry 3:
Computed, not measured: a geometry-optimized Sr2NbBr2 structure at the PBE level of DFT.

Cell: 4.878 4.878 8.532 Å, 73.39 73.39 90.00°
Each line ends with the local moment (μB).
Sites, in units of the cell vectors:
Nb (0.000, 0.000, 0.000)  2.99
Br (0.750, 0.250, 0.500)  0.02
Br (0.250, 0.750, 0.500)  0.02
Sr (0.628, 0.628, 0.744)  0.07
Sr (0.372, 0.372, 0.256)  0.07

Results
Total magnetization ... 1.002 μB per atom
Excess energy over the best structure of this formula in the dataset ... 1.8 kJ per mole of atoms
Crystal system ... tetragonal
Uncorrected energy ... -18.52 eV per cell



Entry 4:
Computed, not measured: a geometry-optimized Sr2NbBr2 structure at the PBE level of DFT.

Cell: 8.731 8.731 3.695 Å, 90.00 90.00 90.00°
Sites, in units of the cell vectors:
Sr (0.830, 0.330, 0.500)
Sr (0.330, 0.170, 0.500)
Sr (0.170, 0.670, 0.500)
Sr (0.670, 0.830, 0.500)
Br (0.636, 0.136, 0.000)
Br (0.364, 0.864, 0.000)
Br (0.864, 0.636, 0.000)
Br (0.136, 0.364, 0.000)
Nb (0.000, 0.000, 0.000)
Nb (0.500, 0.500, 0.000)

Results
Total magnetization ... 0.000 μB per atom
Excess energy over the best structure of this formula in the dataset ... 6.0 kJ per mole of atoms
Crystal system ... tetragonal
Uncorrected energy ... -36.60 eV per cell



Entry 5:
Computed, not measured: a geometry-optimized SrNbBr3 structure at the PBE level of DFT.

Cell: 5.433 5.433 5.433 Å, 90.00 90.00 90.00°
Each line ends with the local moment (μB).
Sites, in units of the cell vectors:
Br (0.000, 0.000, 0.500)  0.03
Br (0.500, 0.000, 0.000)  0.04
Br (0.000, 0.500, 0.000)  0.02
Nb (0.000, 0.000, 0.000)  2.52
Sr (0.500, 0.500, 0.500)  0.03

Results
Total magnetization ... 0.674 μB per atom
Excess energy over the best structure of this formula in the dataset ... 0.0 kJ per mole of atoms
Crystal system ... cubic
Uncorrected energy ... -19.85 eV per cell



Entry 6:
Computed, not measured: a geometry-optimized SrNbZn2Br structure at the PBE level of DFT.

Cell: 6.077 6.198 6.077 Å, 90.00 90.00 90.00°
Each line ends with the local moment (μB).
Sites, in units of the cell vectors:
Nb (0.000, 0.500, 0.000)  3.03
Zn (0.500, 0.000, 0.000)  0.02
Zn (0.000, 0.000, 0.500)  0.02
Br (0.500, 0.500, 0.500)  -0.01
Sr (0.000, 0.000, 0.000)  0.14

Results
Total magnetization ... 0.925 μB per atom
Crystal system ... tetragonal
Uncorrected energy ... -9.42 eV per cell



| no. | D(E_F) (states/eV/f.u.) | ΔE_f (raw) (eV per atom) |
| --- | --- | --- |
| 1 | 7.14 | 0.289 |
| 2 | 3.04 | -0.366 |
| 3 | 0.97 | -0.348 |
| 4 | 3.32 | -0.304 |
| 5 | 3.07 | -0.615 |
| 6 | 6.74 | 1.311 |